# 1
A relaxed AsIr2Cl crystal, computed with PBE.

## Properties
symmetry: Pmm2 (25)
N(E_F): 3.58 states/eV/cell
uncorrected energy: -22.79 eV/cell

Lattice parameters (Å, degrees): 2.838 3.496 7.621 90.00 90.00 90.00
Atoms (fractional coordinates):
As  0.000  0.000  0.000
Ir  0.000  0.000  0.626
Ir  0.500  0.500  0.825
Cl  0.500  0.500  0.409

---

# 2
A relaxed LaCuBr2 crystal, computed with PBE.

## Properties
symmetry: Pm (6)
N(E_F): 0.14 states/eV/cell
uncorrected energy: -16.28 eV/cell

Lattice parameters (Å, degrees): 4.590 4.217 5.908 90.00 112.58 90.00
Atoms (fractional coordinates):
La  0.000  0.000  0.000
Cu  0.121  0.500  0.345
Br  0.410  0.500  0.828
Br  0.702  0.000  0.405

---

# 3
A relaxed NaEu2Si crystal, computed with PBE.

## Properties
symmetry: R-3m (166)
N(E_F): 9.29 states/eV/cell
uncorrected energy: -27.40 eV/cell

Lattice parameters (Å, degrees): 11.578 11.578 11.578 19.31 19.31 19.31
Atoms (fractional coordinates):
Na  0.000  0.000  0.000
Eu  0.109  0.109  0.109
Eu  0.891  0.891  0.891
Si  0.500  0.500  0.500

---

# 4
A relaxed Ca3Nd3Pd4 crystal, computed with PBE.

## Properties
E_form: -0.645 eV/atom
symmetry: Amm2 (38)
N(E_F): 5.91 states/eV/cell
uncorrected energy: -47.53 eV/cell

Lattice parameters (Å, degrees): 4.129 7.957 7.957 89.14 90.00 90.00
Atoms (fractional coordinates):
Ca  0.000  0.000  0.000
Ca  0.500  0.332  0.840
Ca  0.500  0.840  0.332
Nd  0.000  0.174  0.500
Nd  0.000  0.500  0.174
Nd  0.000  0.675  0.675
Pd  0.500  0.211  0.211
Pd  0.500  0.470  0.470
Pd  0.500  0.700  0.965
Pd  0.500  0.965  0.700

---

# 5
A relaxed HfFeB2 crystal, computed with PBE.

## Properties
E_form: -0.495 eV/atom
symmetry: R-3m (166)
N(E_F): 2.82 states/eV/cell
uncorrected energy: -33.75 eV/cell

Lattice parameters (Å, degrees): 4.639 4.639 4.639 43.09 43.09 43.09
Atoms (fractional coordinates):
Hf  0.000  0.000  0.000
Fe  0.500  0.500  0.500
B  0.205  0.205  0.205
B  0.795  0.795  0.795

---

# 6
A relaxed YTlTe2 crystal, computed with PBE.

## Properties
symmetry: Cmcm (63)
N(E_F): 0.00 states/eV/cell
uncorrected energy: -37.76 eV/cell

Lattice parameters (Å, degrees): 10.514 10.514 4.333 90.00 90.00 136.02
Atoms (fractional coordinates):
Y  0.219  0.781  0.750
Y  0.781  0.219  0.250
Tl  0.422  0.578  0.250
Tl  0.578  0.422  0.750
Te  0.087  0.407  0.750
Te  0.407  0.087  0.250
Te  0.593  0.913  0.750
Te  0.913  0.593  0.250